*w*
! LaIn4Pt2, optimized geometry, DFT GGA-PBE; values from VASP
! - crystal system = orthorhombic
! - space-group type = Pnma
! - total magnetization (μB/cell) = 0.0
&SYSTEM
  ibrav = 0, nat = 28, ntyp = 3
/
ATOMIC_SPECIES
In 114.82 In.upf
Pt 195.08 Pt.upf
La 138.91 La.upf
ATOMIC_POSITIONS angstrom
In 5.6120 -15.2409 3.1993
In 3.9314 -7.8279 1.7538
Pt 3.6624 -5.6134 0.0737
La 1.9263 -4.7265 -2.8295
Pt 3.4843 -13.4883 3.4187
In 2.0282 -14.5927 5.5432
Pt 4.1057 -2.1941 -3.2151
Pt 3.0411 -16.9076 6.7075
In -1.5541 -2.9967 -1.4962
La 6.3109 -12.9255 0.6497
Pt 5.8447 -9.8569 1.9447
In 5.1185 -4.5090 -2.0508
In 5.4917 -17.5013 5.2337
Pt 7.9480 -13.7924 3.6158
In 4.9887 -10.0891 -0.7114
In 3.2153 -11.2738 1.7386
In 1.6551 -1.6004 -1.7413
La 0.8358 -6.1762 2.8427
In 3.7875 -7.5608 -1.9063
In 2.1580 -9.0126 4.2038
In 3.3592 -11.5409 5.3987
In 8.7008 -16.1050 4.9886
In 1.3169 -7.1383 -0.2696
Pt 1.3020 -9.2448 1.5477
In 1.5347 -3.8608 0.2931
La 5.2204 -14.3752 6.3219
Pt -0.8013 -5.3093 -0.1234
In 5.8298 -11.9634 3.7620
CELL_PARAMETERS angstrom
-2.4029 -2.5453 -2.9701
6.0915 -1.2349 -3.8699
3.4581 -15.3215 10.3324

*x*
! LaIn4Pt2, optimized geometry, DFT GGA-PBE; values from VASP
! - crystal system = orthorhombic
! - space-group type = Cmmm
! - total magnetization (μB/cell) = 0.0
&SYSTEM
  ibrav = 0, nat = 7, ntyp = 3
/
ATOMIC_SPECIES
In 114.82 In.upf
Pt 195.08 Pt.upf
La 138.91 La.upf
ATOMIC_POSITIONS angstrom
In 3.3969 -5.2496 -1.9497
In 1.7207 -2.3462 -2.5074
Pt 5.8520 -5.1434 -0.6428
La 0.0000 0.0000 0.0000
In 2.0372 -3.0971 0.4539
In 4.8463 -2.5996 -1.3932
Pt -0.4179 -3.2033 -0.8531
CELL_PARAMETERS angstrom
-1.1330 -3.4008 2.4047
-1.9586 -1.7957 -3.4624
8.5256 -3.1501 -0.4382

Need the numbers? Relative energies in meV per atom: *w* 0; *x* 163.